# 1
## Li2Y4N (PBE)

Data for a relaxed structure of Li2Y4N.

The structure in extended XYZ format:
```
7
Lattice="-2.4160 2.4160 7.3901 2.4160 -2.4160 7.3901 2.4160 2.4160 -7.3901" Properties=species:S:1:pos:R:3 pbc="T T T"
Li 0.0000 0.0000 1.9885
Li 0.0000 0.0000 12.7916
Y 2.4160 0.0000 0.0000
Y 0.0000 0.0000 4.9535
Y 0.0000 2.4160 0.0000
Y 0.0000 0.0000 9.8266
N 0.0000 0.0000 7.3901
```

Output
Formation energy (no corrections)   -0.25 eV/atom

---

# 2
## SmY2Mg2 (PBE)

Data for a relaxed structure of SmY2Mg2.

The structure in extended XYZ format:
```
10
Lattice="3.7698 0.0000 0.0000 0.0000 5.4923 0.0000 -1.8883 0.0000 13.9864" Properties=species:S:1:pos:R:3 pbc="T T T"
Sm -0.0002 1.3731 4.1986
Sm 1.8817 4.1192 9.7878
Y 0.0000 4.1192 1.2630
Y -0.0027 4.1192 6.6284
Y 1.8842 1.3731 7.3581
Y 1.8815 1.3731 12.7234
Mg -0.0014 1.3731 10.0622
Mg -0.0022 4.1192 12.5546
Mg 1.8837 1.3731 1.4318
Mg 1.8829 4.1192 3.9242
```

Output
E_form   -0.4 eV per formula unit